A plane-wave DFT calculation with GGA+U was carried out for a relaxed SrVO2F crystal.

Values from the calculation:
calculated total energy	-6.862	eV per atom
density	4.9	g/cm³
total magnetic moment	2.00	μB/cell

abc: 3.9972 3.9972 4.0613
angles: 90.00 90.00 90.00
Last column: nearest neighbours and their distance in Å.
Sites, in units of the cell vectors:
Sr  0.0000  0.0000  0.0000  4 F 2.83, 8 O 2.85
V  0.5000  0.5000  0.5000  4 O 2.00, 2 F 2.03
O  0.0000  0.5000  0.5000  2 V 2.00
O  0.5000  0.0000  0.5000  2 V 2.00
F  0.5000  0.5000  0.0000  2 V 2.03

A plane-wave DFT calculation with GGA+U was carried out for a relaxed SrVOF2 crystal.

Values from the calculation:
energy above the lowest structure with this stoichiometry	1.001	eV per atom
density	3.2	g/cm³
total magnetic moment	3.00	μB/cell

abc: 4.4867 4.4867 4.9103
angles: 90.00 90.00 90.00
Last column: nearest neighbours and their distance in Å.
Sites, in units of the cell vectors:
Sr  0.0000  0.0000  0.0000  4 F 2.24, 2 O 2.46
V  0.5000  0.5000  0.5000  4 O 3.17, 8 F 3.33
O  0.0000  0.0000  0.5000  2 Sr 2.46
F  0.0000  0.5000  0.0000  2 Sr 2.24
F  0.5000  0.0000  0.0000  2 Sr 2.24

A plane-wave DFT calculation with GGA+U was carried out for a relaxed Sr5V3O12F crystal.

Values from the calculation:
calculated total energy	-7.114	eV per atom
density	4.0	g/cm³
total magnetic moment	0.00	μB/cell

abc: 10.1754 10.1754 7.4905
angles: 90.00 90.00 120.00
Last column: nearest neighbours and their distance in Å.
Sites, in units of the cell vectors:
Sr  0.0059  0.7587  0.2500  1 F 2.49, 5 O 2.53-2.65
Sr  0.2413  0.2472  0.2500  1 F 2.49, 5 O 2.53-2.65
Sr  0.2472  0.0059  0.7500  1 F 2.49, 5 O 2.53-2.65
Sr  0.3333  0.6667  0.0011  6 O 2.58-2.64
Sr  0.3333  0.6667  0.4989  6 O 2.58-2.64
Sr  0.6667  0.3333  0.5011  6 O 2.58-2.64
Sr  0.6667  0.3333  0.9989  6 O 2.58-2.64
Sr  0.7528  0.9941  0.2500  1 F 2.49, 5 O 2.53-2.65
Sr  0.7587  0.7528  0.7500  1 F 2.49, 5 O 2.53-2.65
Sr  0.9941  0.2413  0.7500  1 F 2.49, 5 O 2.53-2.65
V  0.0300  0.6315  0.7500  4 O 1.73-1.75
V  0.3685  0.3984  0.7500  4 O 1.73-1.75
V  0.3984  0.0300  0.2500  4 O 1.73-1.75
V  0.6016  0.9700  0.7500  4 O 1.73-1.75
V  0.6315  0.6016  0.2500  4 O 1.73-1.75
V  0.9700  0.3685  0.2500  4 O 1.73-1.75
O  0.0908  0.7508  0.5660  1 V 1.73
O  0.0908  0.7508  0.9340  1 V 1.73
O  0.1271  0.5298  0.7500  1 V 1.75
O  0.1670  0.4844  0.2500  1 V 1.74
O  0.2492  0.3399  0.5660  1 V 1.73
O  0.2492  0.3399  0.9340  1 V 1.73
O  0.3173  0.8330  0.2500  1 V 1.74
O  0.3399  0.0908  0.0660  1 V 1.73
O  0.3399  0.0908  0.4340  1 V 1.73
O  0.4027  0.8729  0.7500  1 V 1.75
O  0.4702  0.5973  0.7500  1 V 1.75
O  0.4844  0.3173  0.7500  1 V 1.74
O  0.5157  0.6827  0.2500  1 V 1.74
O  0.5298  0.4027  0.2500  1 V 1.75
O  0.5973  0.1271  0.2500  1 V 1.75
O  0.6601  0.9092  0.5660  1 V 1.73
O  0.6601  0.9092  0.9340  1 V 1.73
O  0.6827  0.1670  0.7500  1 V 1.74
O  0.7508  0.6601  0.0660  1 V 1.73
O  0.7508  0.6601  0.4340  1 V 1.73
O  0.8330  0.5157  0.7500  1 V 1.74
O  0.8729  0.4702  0.2500  1 V 1.75
O  0.9092  0.2492  0.0660  1 V 1.73
O  0.9092  0.2492  0.4340  1 V 1.73
F  0.0000  0.0000  0.2500  3 Sr 2.49
F  0.0000  0.0000  0.7500  3 Sr 2.49

A plane-wave DFT calculation with GGA+U was carried out for a relaxed SrVOF2 crystal.

Values from the calculation:
energy above the lowest structure with this stoichiometry	0.000	eV per atom
density	4.5	g/cm³
total magnetic moment	3.00	μB/cell

abc: 4.0883 4.0883 4.2685
angles: 90.00 90.00 90.00
Last column: nearest neighbours and their distance in Å.
Sites, in units of the cell vectors:
Sr  0.0000  0.0000  0.0000  4 O 2.89, 8 F 2.96
V  0.5000  0.5000  0.5000  4 F 2.04, 2 O 2.13
O  0.5000  0.5000  0.0000  2 V 2.13
F  0.0000  0.5000  0.5000  2 V 2.04
F  0.5000  0.0000  0.5000  2 V 2.04

A plane-wave DFT calculation with GGA+U was carried out for a relaxed SrVO2F crystal.

Values from the calculation:
calculated total energy	-5.120	eV per atom
density	3.4	g/cm³
total magnetic moment	3.33	μB/cell

abc: 4.5473 4.5473 4.4638
angles: 90.00 90.00 90.00
Last column: nearest neighbours and their distance in Å.
Sites, in units of the cell vectors:
Sr  0.0000  0.0000  0.0000  2 F 2.23, 4 O 2.27
V  0.5000  0.5000  0.5000  8 O 3.19, 4 F 3.22
O  0.0000  0.5000  0.0000  2 Sr 2.27
O  0.5000  0.0000  0.0000  2 Sr 2.27
F  0.0000  0.0000  0.5000  2 Sr 2.23

A plane-wave DFT calculation with GGA+U was carried out for a relaxed Sr2VO4F crystal.

Values from the calculation:
calculated total energy	-6.591	eV per atom
density	4.5	g/cm³
total magnetic moment	0.00	μB/cell

abc: 5.2305 5.2305 7.8725
angles: 113.68 113.68 35.64
Last column: nearest neighbours and their distance in Å.
Sites, in units of the cell vectors:
Sr  0.1720  0.1720  0.2274  5 O 2.45-2.64, 2 F 2.47
Sr  0.8280  0.8280  0.7726  5 O 2.45-2.64, 2 F 2.47
V  0.0000  0.0000  0.5000  2 O 1.80
O  0.1327  0.1327  0.7410  1 V 1.80
O  0.3930  0.3930  0.5514  2 V 2.06
O  0.6070  0.6070  0.4486  2 V 2.06
O  0.8673  0.8673  0.2590  1 V 1.80
F  0.5000  0.5000  0.0000  4 Sr 2.47

A plane-wave DFT calculation with GGA+U was carried out for a relaxed Sr2WO4F crystal.

Values from the calculation:
calculated total energy	-6.774	eV per atom
density	6.5	g/cm³
total magnetic moment	1.00	μB/cell

abc: 5.5667 5.5667 7.0668
angles: 114.22 114.22 34.98
Last column: nearest neighbours and their distance in Å.
Sites, in units of the cell vectors:
Sr  0.1797  0.1797  0.1931  2 F 2.46, 4 O 2.49-2.74
Sr  0.8203  0.8203  0.8069  2 F 2.46, 4 O 2.49-2.74
W  0.0000  0.0000  0.5000  6 O 1.92-2.13
O  0.1411  0.1411  0.7840  1 W 1.92
O  0.3961  0.3961  0.5556  2 W 2.13
O  0.6039  0.6039  0.4444  2 W 2.13
O  0.8589  0.8589  0.2160  1 W 1.92
F  0.5000  0.5000  0.0000  4 Sr 2.46